1.
Compound: Sb2TeI2
Source: Alexandria via LeMat-Bulk
Functional: PBE-GGA
Structure: optimized geometry

Computed properties:
Energy relative to the elements, uncorrected, eV per formula unit: 0.722
Final energy, eV/atom: -2.7530
Space-group type: No. 127
Energy relative to the lowest polymorph listed for this composition, meV per atom: 91

Structure (extended XYZ):
```
10
Lattice="-3.921 -6.603 -1.994 0.042 -2.317 7.589 -4.520 2.450 0.773" Properties=species:S:1:pos:R:3 pbc="T T T"
I -2.908 -1.471 5.146
I -4.862 -5.132 5.326
I -5.491 -4.998 1.222
I -3.537 -1.337 1.042
Sb -1.377 -4.375 5.811
Sb -3.347 -7.164 3.136
Sb -2.501 -4.545 -0.217
Sb -0.531 -1.756 2.458
Te 0.000 0.000 0.000
Te -1.939 -4.460 2.797
```



2.
Compound: SbTe2I
Source: Alexandria via LeMat-Bulk
Functional: PBE-GGA
Structure: optimized geometry

Computed properties:
Energy relative to the elements, uncorrected, eV per formula unit: 1.343
Final energy, eV/atom: -2.6532
Space-group type: No. 225
Energy relative to the lowest polymorph listed for this composition, meV per atom: 417

Structure (extended XYZ):
```
4
Lattice="0.000 3.892 3.892 3.892 0.000 3.892 3.892 3.892 0.000" Properties=species:S:1:pos:R:3 pbc="T T T"
I 3.892 3.892 3.892
Sb 0.000 0.000 0.000
Te 1.946 1.946 1.946
Te 5.837 5.837 5.837
```



3.
Compound: SbTe2I
Source: Alexandria via LeMat-Bulk
Functional: PBE-GGA
Structure: optimized geometry

Computed properties:
Energy relative to the elements, uncorrected, eV per formula unit: -0.325
Final energy, eV/atom: -3.0703
Space-group type: No. 14
Energy relative to the lowest polymorph listed for this composition, meV per atom: 0

Structure (extended XYZ):
```
16
Lattice="-0.313 -1.635 -5.202 2.639 -7.196 2.102 -11.309 -8.693 3.412" Properties=species:S:1:pos:R:3 pbc="T T T"
Sb -6.019 -6.550 2.357
Sb -2.963 -10.973 -2.045
Sb -9.788 -10.941 1.096
Sb 0.805 -6.583 -0.784
Te -8.237 -16.462 0.946
Te -0.745 -1.062 -0.634
Te -5.126 -9.246 1.359
Te -3.857 -8.277 -1.047
Te 0.045 -4.631 -3.255
Te -9.027 -12.893 3.567
Te -4.737 -5.180 0.073
Te -4.245 -12.344 0.239
I -1.534 -6.095 1.447
I -7.449 -11.429 -1.135
I -0.380 -10.183 -0.205
I -8.603 -7.341 0.518
```



4.
Compound: Sb5Te12I3
Source: Alexandria via LeMat-Bulk
Functional: PBE-GGA
Structure: optimized geometry

Computed properties:
Energy relative to the elements, uncorrected, eV per formula unit: 4.870
Final energy, eV/atom: -2.9046
Space-group type: No. 230

Structure (extended XYZ):
```
80
Lattice="16.018 0.000 0.000 -5.339 15.102 0.000 -5.339 -7.551 13.079" Properties=species:S:1:pos:R:3 pbc="T T T"
I 9.344 4.719 1.635
I 9.344 10.383 1.635
I -1.335 6.607 8.174
I 1.335 -0.944 4.905
I 12.014 0.000 3.270
I 1.335 7.551 3.270
I 4.005 0.000 9.809
I -6.674 7.551 9.809
I 4.005 8.495 8.174
I 6.674 0.944 4.905
I -4.005 -2.832 11.444
I -4.005 2.832 11.444
Sb -1.335 3.776 3.270
Sb -2.670 7.551 0.000
Sb 0.000 0.000 0.000
Sb 4.005 2.832 1.635
Sb 5.339 -3.776 6.539
Sb 5.339 7.551 0.000
Sb -4.005 8.495 4.905
Sb 6.674 -4.719 11.444
Sb 6.674 6.607 4.905
Sb 1.335 -3.776 9.809
Sb 4.005 11.327 3.270
Sb 2.670 3.776 6.539
Sb 8.009 0.000 0.000
Sb -2.670 -3.776 6.539
Sb -1.335 0.944 8.174
Sb -1.335 12.270 1.635
Sb -5.339 3.776 6.539
Sb 9.344 -0.944 8.174
Sb 1.335 4.719 11.444
Sb 6.674 3.776 9.809
Te 10.863 1.284 0.472
Te -0.184 4.827 5.663
Te 11.850 3.914 3.602
Te 6.838 2.613 1.348
Te 2.410 5.744 9.004
Te 11.406 7.140 2.465
Te -1.171 8.852 4.951
Te -4.168 12.489 1.348
Te 0.259 9.358 9.004
Te 7.282 7.963 2.465
Te 7.825 4.009 5.191
Te 7.825 13.818 0.472
Te -5.080 6.895 7.012
Te 3.397 5.622 1.589
Te -5.155 11.093 5.191
Te 2.485 -2.724 7.415
Te -0.259 1.150 2.937
Te 3.397 9.892 0.876
Te 6.838 11.188 3.602
Te -0.727 5.211 0.876
Te -2.929 8.702 10.142
Te 3.841 6.250 4.951
Te 7.750 8.208 7.012
Te 6.067 -1.929 11.490
Te 1.499 1.301 8.128
Te -2.410 -0.657 6.067
Te -0.727 9.480 1.589
Te -1.499 -3.637 9.477
Te 8.269 -1.150 2.937
Te 6.067 2.340 12.203
Te 1.942 -2.340 12.203
Te 2.854 10.275 5.663
Te 5.599 6.401 10.142
Te 10.494 -3.542 7.888
Te 10.419 0.657 6.067
Te -2.485 -6.267 12.607
Te 1.942 1.929 11.490
Te 5.080 -1.807 4.074
Te -1.942 -0.412 10.614
Te -2.485 3.542 7.888
Te 9.508 -4.938 11.730
Te 6.511 -1.301 8.128
Te -1.499 4.938 11.730
Te -6.067 0.412 10.614
Te 2.929 1.807 4.074
Te -6.511 3.637 9.477
Te 5.524 2.724 7.415
Te -5.524 6.267 12.607
```



5.
Compound: TiSb2TeI
Source: Alexandria via LeMat-Bulk
Functional: PBE-GGA
Structure: optimized geometry

Computed properties:
Energy relative to the elements, uncorrected, eV per formula unit: 0.850
Final energy, eV/atom: -3.9962
Space-group type: No. 123
Energy relative to the lowest polymorph listed for this composition, meV per atom: 154

Structure (extended XYZ):
```
5
Lattice="5.461 0.000 0.000 0.000 5.461 0.000 0.000 0.000 5.146" Properties=species:S:1:pos:R:3 pbc="T T T"
I 0.000 0.000 2.573
Sb 0.000 2.730 0.000
Sb 2.730 0.000 0.000
Te 2.730 2.730 2.573
Ti 0.000 0.000 0.000
```



6.
Compound: TiSb2TeI
Source: Alexandria via LeMat-Bulk
Functional: PBE-GGA
Structure: optimized geometry

Computed properties:
Energy relative to the elements, uncorrected, eV per formula unit: 5.697
Final energy, eV/atom: -3.0268
Space-group type: No. 123
Energy relative to the lowest polymorph listed for this composition, meV per atom: 1123

Structure (extended XYZ):
```
5
Lattice="5.750 0.000 0.000 0.000 5.750 0.000 0.000 0.000 5.683" Properties=species:S:1:pos:R:3 pbc="T T T"
I 0.000 0.000 2.842
Sb 0.000 2.875 0.000
Sb 2.875 0.000 0.000
Te 0.000 0.000 0.000
Ti 2.875 2.875 2.842
```



Question: Which of these has the highest energy relative to the elements, uncorrected?
Answer: number 6



Question: final energy of number 1 (Sb2TeI2)?
Answer: -2.7530 eV/atom



Question: Among the records above, which one has the lowest energy relative to the elements, uncorrected?
Answer: number 3